Compound: Rb3SiTe3
Source: the Alexandria database
Functional: PBE
Structure: relaxed

Unit cell a=14.6357 b=5.1626 c=15.7841 alpha=90.00 beta=90.00 gamma=90.00
With the nearest neighbours (Å) after each atom.
Space group Pnma (No. 62)
Asymmetric unit:
1 Rb 0.0833 0.2500 0.1000  6 Te 3.68-3.95, 1 Rb 3.97
2 Rb 0.1278 0.7500 0.4774  5 Te 3.67-3.90, 1 Si 3.96
3 Rb 0.2337 0.7500 0.7856  5 Te 3.55-3.80, 2 Si 3.85, 1 Rb 3.97
4 Si 0.0599 0.2500 0.7035  4 Te 2.59-2.82
5 Te 0.0107 0.2500 0.3270  2 Si 2.82
6 Te 0.0915 0.2500 0.8653  1 Si 2.59
7 Te 0.2140 0.2500 0.6220  1 Si 2.60

## Properties
- Total magnetization: 0.00 μB/f.u.
- Distance to the lowest polymorph of the same formula: 0.00 eV/f.u.